1.
Below is PrSmBi4 after structural relaxation, with properties calculated at the GGA-PBE level.

```
PrSmBi4
1.0
4.6605 0.0000 0.0000
0.0000 2.3142 8.6189
0.0000 -2.3142 8.6189
Pr Sm Bi
1 1 4
Direct
0.0000 0.0000 0.0000 Pr
0.5000 0.2019 0.2019 Sm
0.0000 0.3493 0.3493 Bi
0.0000 0.6722 0.6722 Bi
0.5000 0.5306 0.5306 Bi
0.5000 0.8487 0.8487 Bi
```

Computed properties:
Total moment in μB per formula unit: 0.00
Volume in Å³/atom: 30.99
Crystal system: orthorhombic
Calculated total energy in eV per atom: -4.92

=====

2.
Below is Cs2ZrAu2S4 after structural relaxation, with properties calculated at the GGA-PBE level.

```
Cs2ZrAu2S4
1.0
3.0580 -7.0528 0.0000
3.0580 7.0528 0.0000
0.0000 0.0000 6.1065
Cs Zr Au S
2 1 2 4
Direct
0.0000 0.5000 0.2365 Cs
0.5000 0.0000 0.7635 Cs
0.0000 0.0000 0.5000 Zr
0.0000 0.0000 0.0000 Au
0.5000 0.5000 0.5000 Au
0.1299 0.3319 0.7303 S
0.3319 0.1299 0.2697 S
0.6681 0.8701 0.2697 S
0.8701 0.6681 0.7303 S
```

Computed properties:
Total moment in μB per formula unit: 0.00
Volume in Å³/atom: 29.27
Crystal system: orthorhombic
Calculated total energy in eV per atom: -4.68

=====

3.
Below is Sm2TmAl7Ag2 after structural relaxation, with properties calculated at the GGA-PBE level.

```
Sm2TmAl7Ag2
1.0
2.7950 1.6137 8.8267
-2.7950 1.6137 8.8267
0.0000 -3.2273 8.8267
Sm Tm Al Ag
2 1 7 2
Direct
0.1418 0.1418 0.1418 Sm
0.8582 0.8582 0.8582 Sm
0.0000 0.0000 0.0000 Tm
0.0750 0.5869 0.5869 Al
0.4131 0.4131 0.9250 Al
0.4131 0.9250 0.4131 Al
0.5000 0.5000 0.5000 Al
0.5869 0.0750 0.5869 Al
0.5869 0.5869 0.0750 Al
0.9250 0.4131 0.4131 Al
0.3359 0.3359 0.3359 Ag
0.6641 0.6641 0.6641 Ag
```

Computed properties:
Total moment in μB per formula unit: 0.00
Volume in Å³/atom: 19.90
Crystal system: trigonal
Calculated total energy in eV per atom: -4.25

=====

4.
Below is TaTlCuTe2S after structural relaxation, with properties calculated at the GGA-PBE level.

```
TaTlCuTe2S
1.0
1.8973 -7.9299 0.0000
1.8973 7.9299 0.0000
0.0000 0.0000 9.7472
Ta Tl Cu Te S
2 2 2 4 2
Direct
0.0000 0.0000 0.0000 Ta
0.0000 0.0000 0.5000 Ta
0.2649 0.7351 0.7500 Tl
0.7351 0.2649 0.2500 Tl
0.4725 0.5275 0.2500 Cu
0.5275 0.4725 0.7500 Cu
0.3690 0.6310 0.0452 Te
0.3690 0.6310 0.4548 Te
0.6310 0.3690 0.5452 Te
0.6310 0.3690 0.9548 Te
0.0514 0.9486 0.2500 S
0.9486 0.0514 0.7500 S
```

Computed properties:
Total moment in μB per formula unit: 0.03
Volume in Å³/atom: 24.44
Crystal system: orthorhombic
Calculated total energy in eV per atom: -5.04

=====

5.
Below is NdHoPt2 after structural relaxation, with properties calculated at the GGA-PBE level.

```
NdHoPt2
1.0
5.6435 0.0000 0.0000
0.0000 4.5658 0.0000
-0.1645 0.0000 7.1694
Nd Ho Pt
2 2 4
Direct
0.1417 0.2500 0.1853 Nd
0.8583 0.7500 0.8147 Nd
0.3609 0.2500 0.6801 Ho
0.6391 0.7500 0.3199 Ho
0.1638 0.7500 0.4635 Pt
0.3523 0.7500 0.9491 Pt
0.6477 0.2500 0.0509 Pt
0.8362 0.2500 0.5365 Pt
```

Computed properties:
Total moment in μB per formula unit: 0.00
Volume in Å³/atom: 23.09
Crystal system: monoclinic
Distance to the lowest polymorph of the same formula in kJ/mol of formula units: 3

=====

6.
Below is SrDyEr after structural relaxation, with properties calculated at the GGA-PBE level.

```
SrDyEr
1.0
0.0000 4.0444 4.0444
4.0444 0.0000 4.0444
4.0444 4.0444 0.0000
Sr Dy Er
1 1 1
Direct
0.0000 0.0000 0.0000 Sr
0.5000 0.5000 0.5000 Dy
0.7500 0.7500 0.7500 Er
```

Computed properties:
Total moment in μB per formula unit: 0.00
Volume in Å³/atom: 44.10
Crystal system: cubic
Calculated total energy in eV per atom: -2.80

=====

7.
Below is Er5Lu2Te2Pd2 after structural relaxation, with properties calculated at the GGA-PBE level.

```
Er5Lu2Te2Pd2
1.0
-1.9549 7.7573 4.7686
1.9549 -7.7573 4.7686
1.9549 7.7573 -4.7686
Er Lu Te Pd
5 2 2 2
Direct
0.0000 0.0000 0.0000 Er
0.0565 0.3739 0.6826 Er
0.0917 0.7353 0.3565 Er
0.3788 0.7353 0.6435 Er
0.6912 0.3739 0.3174 Er
0.4532 0.5840 0.8692 Lu
0.7148 0.5840 0.1308 Lu
0.3411 0.3411 0.0000 Te
0.7329 0.2329 0.5000 Te
0.3077 0.0696 0.2380 Pd
0.8316 0.0696 0.7620 Pd
```

Computed properties:
Total moment in μB per formula unit: 0.00
Volume in Å³/atom: 26.30
Crystal system: orthorhombic
Distance to the lowest polymorph of the same formula in kJ/mol of formula units: 10

=====

8.
Below is PrErSn2 after structural relaxation, with properties calculated at the GGA-PBE level.

```
PrErSn2
1.0
3.3518 0.0000 0.0000
0.0000 3.1604 6.2033
0.0000 -3.1604 6.2033
Pr Er Sn
1 1 2
Direct
0.0000 0.0000 0.0000 Pr
0.0000 0.2807 0.2807 Er
0.0000 0.5210 0.5210 Sn
0.0000 0.7492 0.7492 Sn
```

Computed properties:
Total moment in μB per formula unit: 0.01
Volume in Å³/atom: 32.86
Crystal system: orthorhombic
Calculated total energy in eV per atom: -4.27

=====

Q: Look up the total moment of the fifth one.
A: 0.00 μB per formula unit

=====

Q: What is the formula in the third record?
A: Sm2TmAl7Ag2

=====

Q: Which formula does entry 7 have?
A: Er5Lu2Te2Pd2